1.
The following is a PBE-GGA calculation of crystalline ThScTe at its relaxed geometry, from the Alexandria database.

Cell and atoms, written as POSCAR:
```
ThScTe
1.0
-1.879 1.879 5.828
1.879 -1.879 5.828
1.879 1.879 -5.828
Th Sc Te
1 1 1
Direct
0.000 0.000 0.000
0.316 0.316 0.000
0.700 0.700 0.000
```

The calculation puts the energy above the lowest structure with this stoichiometry at 2.07 kcal/mol of atoms. The space group is No. 107. The calculation puts the uncorrected formation energy at -0.622 eV per atom. As for the spin magnetization: 0.000 μB/cell.

2.
The following is a PBE-GGA calculation of crystalline LiYHoEr at its relaxed geometry, from the Alexandria database.

Cell and atoms, written as POSCAR:
```
LiYHoEr
1.0
0.000 3.855 3.855
3.855 0.000 3.855
3.855 3.855 0.000
Li Y Ho Er
1 1 1 1
Direct
0.000 0.000 0.000
0.750 0.750 0.750
0.250 0.250 0.250
0.500 0.500 0.500
```

The total energy is -4.21 eV/atom. The space group is No. 216. As for the spin magnetization: 0.000 μB/cell.